Entry 1:
Material: Sr2PrRh9
Method: DFT, PBE-GGA
State: optimized geometry

Computed properties:
space group: R-3m
D(E_F): 1.28 states/eV per atom
theoretical density: 9.2 g cm⁻³

a = 5.383 Å, b = 5.383 Å, c = 9.423 Å
α = 73.40°, β = 73.40°, γ = 60.00°
Sites, in units of the cell vectors:
Rh 0.577 0.577 0.761
Rh 0.577 0.085 0.761
Rh 0.085 0.577 0.761
Rh 0.423 0.423 0.239
Rh 0.423 0.915 0.239
Rh 0.500 0.500 0.500
Rh 0.332 0.332 0.004
Rh 0.668 0.668 0.996
Rh 0.915 0.423 0.239
Sr 0.859 0.859 0.423
Sr 0.141 0.141 0.577
Pr 0.000 0.000 0.000


Entry 2:
Material: SrPr2Rh
Method: DFT, PBE-GGA
State: optimized geometry

Computed properties:
space group: P4/mmm
D(E_F): 1.12 states/eV per atom
theoretical density: 5.8 g cm⁻³
energy above the lowest structure with this stoichiometry: 91 meV/atom

a = 3.661 Å, b = 3.661 Å, c = 10.049 Å
α = 90.00°, β = 90.00°, γ = 90.00°
Sites, in units of the cell vectors:
Rh 0.500 0.500 0.000
Pr 0.000 0.000 0.165
Pr 0.000 0.000 0.835
Sr 0.500 0.500 0.500


Entry 3:
Material: SrPr2Rh
Method: DFT, PBE-GGA
State: optimized geometry

Computed properties:
space group: R-3m
D(E_F): 1.09 states/eV per atom
theoretical density: 5.1 g cm⁻³
energy above the lowest structure with this stoichiometry: 9 meV/atom

a = 4.195 Å, b = 4.195 Å, c = 10.306 Å
α = 78.26°, β = 78.26°, γ = 60.00°
Sites, in units of the cell vectors:
Sr 0.500 0.500 0.500
Rh 0.000 0.000 0.000
Pr 0.717 0.717 0.848
Pr 0.283 0.283 0.152


Entry 4:
Material: SrPr2Rh
Method: DFT, PBE-GGA
State: optimized geometry

Computed properties:
space group: R3m
D(E_F): 1.11 states/eV per atom
theoretical density: 5.2 g cm⁻³
energy above the lowest structure with this stoichiometry: 0 meV/atom

a = 4.211 Å, b = 4.211 Å, c = 10.088 Å
α = 77.95°, β = 77.95°, γ = 60.00°
Sites, in units of the cell vectors:
Rh 0.666 0.666 0.001
Sr 0.501 0.501 0.496
Pr 0.282 0.282 0.155
Pr 0.051 0.051 0.847


Entry 5:
Material: SrPrRh2
Method: DFT, PBE-GGA
State: optimized geometry

Computed properties:
space group: P4/mmm
D(E_F): 0.41 states/eV per atom
theoretical density: 7.7 g cm⁻³

a = 3.595 Å, b = 3.595 Å, c = 7.243 Å
α = 90.00°, β = 90.00°, γ = 90.00°
Sites, in units of the cell vectors:
Sr 0.500 0.500 0.500
Pr 0.500 0.500 0.000
Rh 0.000 0.000 0.777
Rh 0.000 0.000 0.223


Entry 6:
Material: SrPrTlRh
Method: DFT, PBE-GGA
State: optimized geometry

Computed properties:
space group: F-43m
D(E_F): 0.61 states/eV per atom
theoretical density: 8.2 g cm⁻³

a = 5.358 Å, b = 5.358 Å, c = 5.358 Å
α = 60.00°, β = 60.00°, γ = 60.00°
Sites, in units of the cell vectors:
Rh 0.500 0.500 0.500
Pr 0.250 0.250 0.250
Tl 0.000 0.000 0.000
Sr 0.750 0.750 0.750


Entry 7:
Material: Pr2TmTa2Rh5
Method: DFT, PBE-GGA
State: optimized geometry

Computed properties:
space group: P4/mbm
D(E_F): 0.82 states/eV per atom
theoretical density: 10.9 g cm⁻³

a = 3.487 Å, b = 10.776 Å, c = 10.776 Å
α = 90.00°, β = 90.00°, γ = 90.00°
Sites, in units of the cell vectors:
Tm 0.000 0.000 0.000
Tm 0.000 0.500 0.500
Pr 0.000 0.325 0.825
Pr 0.000 0.175 0.325
Pr 0.000 0.825 0.675
Pr 0.000 0.675 0.175
Rh 0.500 0.290 0.552
Rh 0.500 0.210 0.052
Rh 0.500 0.000 0.500
Rh 0.500 0.948 0.210
Rh 0.500 0.790 0.948
Rh 0.500 0.500 0.000
Rh 0.500 0.710 0.448
Rh 0.500 0.448 0.290
Rh 0.500 0.552 0.710
Rh 0.500 0.052 0.790
Ta 0.000 0.129 0.629
Ta 0.000 0.629 0.871
Ta 0.000 0.871 0.371
Ta 0.000 0.371 0.129


Entry 8:
Material: Pr2Ta2ZnRh5
Method: DFT, PBE-GGA
State: optimized geometry

Computed properties:
space group: P4/mbm
D(E_F): 0.67 states/eV per atom
theoretical density: 10.8 g cm⁻³

a = 3.110 Å, b = 10.989 Å, c = 10.989 Å
α = 90.00°, β = 90.00°, γ = 90.00°
Sites, in units of the cell vectors:
Ta 0.000 0.139 0.639
Ta 0.000 0.639 0.861
Ta 0.000 0.361 0.139
Ta 0.000 0.861 0.361
Rh 0.500 0.311 0.560
Rh 0.500 0.440 0.311
Rh 0.500 0.689 0.440
Rh 0.500 0.560 0.689
Rh 0.500 0.940 0.189
Rh 0.500 0.189 0.060
Rh 0.500 0.500 0.000
Rh 0.500 0.000 0.500
Rh 0.500 0.811 0.940
Rh 0.500 0.060 0.811
Pr 0.000 0.170 0.330
Pr 0.000 0.330 0.830
Pr 0.000 0.670 0.170
Pr 0.000 0.830 0.670
Zn 0.000 0.000 0.000
Zn 0.000 0.500 0.500


Entry 9:
Material: TbPrRh
Method: DFT, PBE-GGA
State: optimized geometry

Computed properties:
space group: P2_1/m
D(E_F): 0.96 states/eV per atom
theoretical density: 7.9 g cm⁻³
energy above the lowest structure with this stoichiometry: 37 meV/atom

a = 4.487 Å, b = 5.925 Å, c = 6.619 Å
α = 105.90°, β = 90.00°, γ = 90.00°
Sites, in units of the cell vectors:
Pr 0.752 0.574 0.284
Pr 0.252 0.434 0.719
Tb 0.752 0.976 0.797
Tb 0.252 0.031 0.206
Rh 0.752 0.166 0.452
Rh 0.252 0.842 0.551


Entry 10:
Material: Tb2Pr2Rh3
Method: DFT, PBE-GGA
State: optimized geometry

Computed properties:
space group: P-1
D(E_F): 0.46 states/eV per atom
theoretical density: 8.1 g cm⁻³
energy above the lowest structure with this stoichiometry: 68 meV/atom

a = 4.410 Å, b = 6.127 Å, c = 7.499 Å
α = 99.02°, β = 89.92°, γ = 111.10°
Sites, in units of the cell vectors:
Rh 0.198 0.394 0.737
Rh 0.802 0.606 0.263
Rh 0.000 0.000 0.000
Tb 0.362 0.725 0.071
Tb 0.638 0.275 0.929
Pr 0.132 0.266 0.356
Pr 0.868 0.734 0.644


Entry 11:
Material: TbPrRh2
Method: DFT, PBE-GGA
State: optimized geometry

Computed properties:
space group: C2/m
D(E_F): 0.32 states/eV per atom
theoretical density: 9.1 g cm⁻³

a = 5.633 Å, b = 5.737 Å, c = 11.572 Å
α = 100.32°, β = 90.00°, γ = 90.00°
Sites, in units of the cell vectors:
Pr 0.250 0.954 0.393
Pr 0.250 0.546 0.107
Pr 0.750 0.454 0.893
Pr 0.750 0.046 0.607
Rh 0.250 0.062 0.150
Rh 0.250 0.056 0.657
Rh 0.750 0.938 0.850
Rh 0.250 0.438 0.350
Rh 0.750 0.556 0.157
Rh 0.750 0.944 0.343
Rh 0.250 0.444 0.843
Rh 0.750 0.562 0.650
Tb 0.750 0.456 0.393
Tb 0.250 0.544 0.607
Tb 0.750 0.044 0.107
Tb 0.250 0.956 0.893


Entry 12:
Material: TbPrRh
Method: DFT, PBE-GGA
State: optimized geometry

Computed properties:
space group: Cm
D(E_F): 1.05 states/eV per atom
theoretical density: 8.2 g cm⁻³
energy above the lowest structure with this stoichiometry: 0 meV/atom

a = 3.816 Å, b = 6.553 Å, c = 7.245 Å
α = 74.30°, β = 74.73°, γ = 73.07°
Sites, in units of the cell vectors:
Tb 0.343 0.892 0.421
Tb 0.751 0.386 0.113
Rh 0.297 0.599 0.807
Rh 0.043 0.710 0.203
Pr 0.583 0.943 0.890
Pr 0.005 0.410 0.580


Entry 13:
Material: Tb2PrRh
Method: DFT, PBE-GGA
State: optimized geometry

Computed properties:
space group: R-3m
D(E_F): 1.37 states/eV per atom
theoretical density: 7.3 g cm⁻³
energy above the lowest structure with this stoichiometry: 291 meV/atom

a = 3.731 Å, b = 3.731 Å, c = 10.804 Å
α = 80.06°, β = 80.06°, γ = 60.00°
Sites, in units of the cell vectors:
Tb 0.113 0.113 0.660
Tb 0.887 0.887 0.340
Pr 0.000 0.000 0.000
Rh 0.500 0.500 0.500


Entry 14:
Material: Tb4Pr3Rh4
Method: DFT, PBE-GGA
State: optimized geometry

Computed properties:
space group: Immm
D(E_F): 0.77 states/eV per atom
theoretical density: 8.7 g cm⁻³

a = 3.888 Å, b = 8.992 Å, c = 9.368 Å
α = 118.68°, β = 101.98°, γ = 90.00°
Sites, in units of the cell vectors:
Rh 0.500 0.230 0.000
Rh 0.758 0.258 0.515
Rh 0.242 0.742 0.485
Rh 0.500 0.770 0.000
Pr 0.900 0.900 0.799
Pr 0.100 0.100 0.201
Pr 0.000 0.500 0.000
Tb 0.667 0.857 0.334
Tb 0.667 0.478 0.334
Tb 0.333 0.522 0.666
Tb 0.333 0.143 0.666


Entry 15:
Material: TbPr3Rh
Method: DFT, PBE-GGA
State: optimized geometry

Computed properties:
space group: Ima2
D(E_F): 1.25 states/eV per atom
theoretical density: 7.1 g cm⁻³
energy above the lowest structure with this stoichiometry: 0 meV/atom

a = 7.558 Å, b = 7.558 Å, c = 7.558 Å
α = 101.53°, β = 120.83°, γ = 106.72°
Sites, in units of the cell vectors:
Pr 0.038 0.780 0.758
Pr 0.033 0.824 0.294
Pr 0.530 0.739 0.706
Pr 0.033 0.239 0.709
Pr 0.530 0.324 0.291
Pr 0.021 0.280 0.242
Rh 0.526 0.032 0.995
Rh 0.037 0.532 0.005
Tb 0.563 0.284 0.779
Tb 0.504 0.784 0.221


Entry 16:
Material: Tb2PrRh2
Method: DFT, PBE-GGA
State: optimized geometry

Computed properties:
space group: Cmcm
D(E_F): 0.77 states/eV per atom
theoretical density: 9.1 g cm⁻³
energy above the lowest structure with this stoichiometry: 0 meV/atom

a = 3.878 Å, b = 4.729 Å, c = 13.401 Å
α = 90.00°, β = 98.32°, γ = 90.00°
Sites, in units of the cell vectors:
Rh 0.838 0.750 0.675
Rh 0.469 0.250 0.937
Rh 0.531 0.750 0.063
Rh 0.162 0.250 0.325
Tb 0.949 0.750 0.898
Tb 0.735 0.250 0.471
Tb 0.051 0.250 0.102
Tb 0.265 0.750 0.529
Pr 0.364 0.250 0.728
Pr 0.636 0.750 0.272


Entry 17:
Material: TbPr2Rh9
Method: DFT, PBE-GGA
State: optimized geometry

Computed properties:
space group: R-3m
D(E_F): 1.00 states/eV per atom
theoretical density: 10.4 g cm⁻³

a = 5.305 Å, b = 5.305 Å, c = 9.425 Å
α = 73.65°, β = 73.65°, γ = 60.00°
Sites, in units of the cell vectors:
Rh 0.420 0.918 0.242
Rh 0.082 0.580 0.758
Rh 0.420 0.420 0.242
Rh 0.667 0.667 0.998
Rh 0.918 0.420 0.242
Rh 0.580 0.580 0.758
Rh 0.333 0.333 0.002
Rh 0.580 0.082 0.758
Rh 0.500 0.500 0.500
Pr 0.139 0.139 0.584
Pr 0.861 0.861 0.416
Tb 0.000 0.000 0.000


Entry 18:
Material: TbPrRh2
Method: DFT, PBE-GGA
State: optimized geometry

Computed properties:
space group: P4/mmm
D(E_F): 0.81 states/eV per atom
theoretical density: 9.7 g cm⁻³

a = 3.461 Å, b = 3.461 Å, c = 7.192 Å
α = 90.00°, β = 90.00°, γ = 90.00°
Sites, in units of the cell vectors:
Pr 0.500 0.500 0.500
Tb 0.500 0.500 0.000
Rh 0.000 0.000 0.765
Rh 0.000 0.000 0.235


Entry 19:
Material: Tb2PrRh
Method: DFT, PBE-GGA
State: optimized geometry

Computed properties:
space group: P4/mmm
D(E_F): 1.16 states/eV per atom
theoretical density: 8.5 g cm⁻³
energy above the lowest structure with this stoichiometry: 77 meV/atom

a = 3.525 Å, b = 3.525 Å, c = 8.822 Å
α = 90.00°, β = 90.00°, γ = 90.00°
Sites, in units of the cell vectors:
Pr 0.500 0.500 0.500
Tb 0.000 0.000 0.815
Tb 0.000 0.000 0.185
Rh 0.500 0.500 0.000


Entry 20:
Material: Tb2Pr2Rh15
Method: DFT, PBE-GGA
State: optimized geometry

Computed properties:
space group: R-3m
D(E_F): 1.41 states/eV per atom
theoretical density: 10.8 g cm⁻³

a = 6.961 Å, b = 6.961 Å, c = 6.961 Å
α = 82.59°, β = 82.59°, γ = 82.59°
Sites, in units of the cell vectors:
Rh 0.306 0.694 0.000
Rh 0.306 0.000 0.694
Rh 0.350 0.840 0.350
Rh 0.500 0.000 0.000
Rh 0.694 0.000 0.306
Rh 0.650 0.160 0.650
Rh 0.160 0.650 0.650
Rh 0.000 0.694 0.306
Rh 0.694 0.306 0.000
Rh 0.350 0.350 0.840
Rh 0.650 0.650 0.160
Rh 0.840 0.350 0.350
Rh 0.000 0.500 0.000
Rh 0.000 0.000 0.500
Rh 0.000 0.306 0.694
Tb 0.109 0.109 0.109
Tb 0.891 0.891 0.891
Pr 0.642 0.642 0.642
Pr 0.358 0.358 0.358


Entry 21:
Material: TbPrRh
Method: DFT, PBE-GGA
State: optimized geometry

Computed properties:
space group: P2_1/c
D(E_F): 0.96 states/eV per atom
theoretical density: 7.7 g cm⁻³
energy above the lowest structure with this stoichiometry: 76 meV/atom

a = 6.169 Å, b = 6.945 Å, c = 8.162 Å
α = 93.59°, β = 90.00°, γ = 90.00°
Sites, in units of the cell vectors:
Rh 0.674 0.528 0.367
Rh 0.326 0.472 0.633
Rh 0.174 0.972 0.133
Rh 0.826 0.028 0.867
Tb 0.113 0.708 0.867
Tb 0.387 0.208 0.367
Tb 0.887 0.292 0.133
Tb 0.613 0.792 0.633
Pr 0.628 0.795 0.114
Pr 0.372 0.205 0.886
Pr 0.128 0.705 0.386
Pr 0.872 0.295 0.614


Entry 22:
Material: Tb2PrRh
Method: DFT, PBE-GGA
State: optimized geometry

Computed properties:
space group: Pnma
D(E_F): 1.17 states/eV per atom
theoretical density: 8.3 g cm⁻³
energy above the lowest structure with this stoichiometry: 0 meV/atom

a = 6.465 Å, b = 7.247 Å, c = 9.628 Å
α = 90.00°, β = 90.00°, γ = 90.00°
Sites, in units of the cell vectors:
Rh 0.925 0.617 0.750
Rh 0.425 0.883 0.250
Rh 0.075 0.383 0.250
Rh 0.575 0.117 0.750
Tb 0.831 0.324 0.565
Tb 0.669 0.824 0.935
Tb 0.331 0.176 0.435
Tb 0.169 0.676 0.065
Tb 0.831 0.324 0.935
Tb 0.169 0.676 0.435
Tb 0.669 0.824 0.565
Tb 0.331 0.176 0.065
Pr 0.862 0.035 0.250
Pr 0.138 0.965 0.750
Pr 0.638 0.535 0.250
Pr 0.362 0.465 0.750


Entry 23:
Material: Tb3Pr4Rh4
Method: DFT, PBE-GGA
State: optimized geometry

Computed properties:
space group: Immm
D(E_F): 0.74 states/eV per atom
theoretical density: 8.6 g cm⁻³

a = 3.722 Å, b = 9.048 Å, c = 9.656 Å
α = 117.94°, β = 101.11°, γ = 90.00°
Sites, in units of the cell vectors:
Tb 0.000 0.500 0.000
Tb 0.098 0.098 0.195
Tb 0.902 0.902 0.805
Pr 0.336 0.150 0.673
Pr 0.664 0.478 0.327
Pr 0.336 0.522 0.673
Pr 0.664 0.850 0.327
Rh 0.265 0.765 0.531
Rh 0.735 0.235 0.469
Rh 0.500 0.782 0.000
Rh 0.500 0.218 0.000


In eV/f.u., the final energy values for the records above are, in order, -77.65, -19.56, -19.89, -19.92, -22.71, -17.27, -78.99, -74.65, -18.29, -45.11, -26.47, -18.40, -22.15, -68.46, -27.59, -31.58, -86.33, -26.91, -23.00, -135.68, -18.17, -23.31, -67.75.